# ScFeRu2 | Alexandria via LeMat-Bulk | PBE | optimized geometry
data_ScFeRu2
_chemical_formula_sum 'Sc3 Fe3 Ru6'
_cell_length_a 2.9011
_cell_length_b 2.9011
_cell_length_c 25.0321
_cell_angle_alpha 90.00
_cell_angle_beta 90.00
_cell_angle_gamma 120.00
_symmetry_space_group_name_H-M 'R -3 m'
_symmetry_Int_Tables_number 166
_symmetry_space_group_name_Hall '-R 3 2"'
loop_
_atom_site_label
_atom_site_fract_x
_atom_site_fract_y
_atom_site_fract_z
Sc1 0.0000 0.0000 0.0000
Fe1 0.0000 0.0000 0.5000
Ru1 0.0000 0.0000 0.2456
# ΔH_f (0 K)   0.135 eV per atom
# Spin magnetization   0.876 μB/atom